Computed, not measured: a crystal of NaTl2Pd2 relaxed with PBEsol at the SCAN level of DFT.

```
NaTl2Pd2
1.0
-2.899 -2.374 1.607
1.152 -3.058 -2.439
5.102 0.654 4.998
Pd Na Tl
2 1 2
direct
0.250 0.750 0.500
0.750 0.250 0.500
0.000 0.000 0.000
0.614 0.614 0.228
0.386 0.386 0.772
```

Calculated values
**Size of the total moment**: 0.00 μB per atom
**E_tot**: -43.075 eV per atom
**Formation enthalpy at 0 K**: -0.894 eV/f.u.
**SG**: No. 139
**Energy above the lowest structure with this stoichiometry**: 3 meV per atom